VASP calculation (PBE) on crystalline NbCdH at its relaxed geometry.

Values from the calculation:
Calculated total energy in eV per atom: -4.7866

The structure in extended XYZ format:
```
3
Lattice="3.165 0.000 0.000 -1.583 2.741 0.000 0.000 0.000 4.961" Properties=species:S:1:pos:R:3 pbc="T T T"
Nb 0.000 0.000 0.000
Cd 1.583 0.914 2.431
H 0.000 1.827 4.528
```

VASP calculation (PBE) on crystalline HoLu2Mg at its relaxed geometry.

Values from the calculation:
E_form in eV/atom: -0.02

The structure in extended XYZ format:
```
4
Lattice="3.500 0.000 0.000 0.000 3.500 0.000 0.000 0.000 9.268" Properties=species:S:1:pos:R:3 pbc="T T T"
Ho 0.000 0.000 0.000
Lu 1.750 1.750 2.414
Lu 1.750 1.750 6.854
Mg 0.000 0.000 4.634
```

VASP calculation (PBE) on crystalline UVB2 at its relaxed geometry.

Values from the calculation:
E_form in eV/atom: 0.00

The structure in extended XYZ format:
```
4
Lattice="1.555 0.898 5.993 -1.555 0.898 5.993 0.000 -1.796 5.993" Properties=species:S:1:pos:R:3 pbc="T T T"
U 0.000 0.000 0.000
V 0.000 0.000 8.989
B 0.000 0.000 4.203
B 0.000 0.000 13.776
```

VASP calculation (PBE) on crystalline BaLa2Ag2 at its relaxed geometry.

Values from the calculation:
E_form in eV/atom: -0.08

The structure in extended XYZ format:
```
5
Lattice="-2.541 2.541 6.726 2.541 -2.541 6.726 2.541 2.541 -6.726" Properties=species:S:1:pos:R:3 pbc="T T T"
Ba 0.000 0.000 0.000
La 2.541 0.000 3.363
La 0.000 2.541 3.363
Ag 0.000 0.000 5.335
Ag 0.000 0.000 8.116
```

VASP calculation (PBE) on crystalline La3Zr at its relaxed geometry.

Values from the calculation:
E_form in eV/atom: 0.32

The structure in extended XYZ format:
```
8
Lattice="6.363 0.000 0.000 0.000 6.363 0.000 0.000 0.000 6.363" Properties=species:S:1:pos:R:3 pbc="T T T"
La 0.000 1.591 3.182
La 0.000 4.773 3.182
La 1.591 3.182 0.000
La 3.182 0.000 1.591
La 3.182 0.000 4.773
La 4.773 3.182 0.000
Zr 0.000 0.000 0.000
Zr 3.182 3.182 3.182
```

VASP calculation (PBE) on crystalline La2Sm2Y4Ho at its relaxed geometry.

Values from the calculation:
E_form in eV/atom: 0.00

The structure in extended XYZ format:
```
9
Lattice="9.462 -1.826 0.000 9.462 1.826 0.000 -4.204 0.000 8.734" Properties=species:S:1:pos:R:3 pbc="T T T"
La 1.022 0.000 4.355
La 13.698 0.000 4.379
Sm 3.155 0.000 7.304
Sm 11.565 0.000 1.430
Y -3.127 0.000 7.285
Y 5.270 0.000 1.428
Y 9.451 0.000 7.306
Y 17.847 0.000 1.449
Ho 7.360 0.000 4.367
```

VASP calculation (PBE) on crystalline AgRuClO4 at its relaxed geometry.

Values from the calculation:
Formation energy from raw total energies in eV/atom: -0.5383

The structure in extended XYZ format:
```
14
Lattice="5.069 -3.961 0.000 5.069 3.961 0.000 -4.186 0.000 7.287" Properties=species:S:1:pos:R:3 pbc="T T T"
Ag 1.243 0.000 1.222
Ag 4.709 0.000 6.065
Ru 0.952 0.000 5.066
Ru 5.001 0.000 2.221
Cl -2.886 0.000 6.015
Cl 8.839 0.000 1.272
O -0.012 1.408 5.297
O 1.596 0.000 3.450
O 3.668 0.000 1.101
O -0.012 -1.408 5.297
O 5.964 1.408 1.990
O 2.285 0.000 6.186
O 4.356 0.000 3.837
O 5.964 -1.408 1.990
```

VASP calculation (PBE) on crystalline CaMg2Ni at its relaxed geometry.

Values from the calculation:
E_form in eV/atom: 0.24

The structure in extended XYZ format:
```
8
Lattice="-2.080 2.080 10.576 2.080 -2.080 10.576 2.080 2.080 -10.576" Properties=species:S:1:pos:R:3 pbc="T T T"
Ca 0.000 0.000 0.000
Ca 0.000 2.080 5.288
Mg 1.040 -0.915 7.932
Mg 1.165 1.040 2.644
Mg 1.040 2.995 -2.644
Mg 0.915 1.040 13.219
Ni 2.080 0.000 5.288
Ni 0.000 0.000 10.576
```

VASP calculation (PBE) on crystalline NdPa2Sb3 at its relaxed geometry.

Values from the calculation:
Formation energy from raw total energies in eV/atom: -0.6760

The structure in extended XYZ format:
```
24
Lattice="6.238 0.000 0.000 0.000 13.248 0.000 0.000 0.000 8.830" Properties=species:S:1:pos:R:3 pbc="T T T"
Nd 1.557 1.051 1.092
Nd 1.557 5.573 5.507
Nd 4.680 7.675 3.323
Nd 4.680 12.198 7.738
Pa 1.557 1.117 5.512
Pa 1.557 5.508 1.096
Pa 1.564 9.885 5.513
Pa 1.564 9.987 1.098
Pa 4.673 3.261 7.733
Pa 4.673 3.363 3.318
Pa 4.680 7.741 7.734
Pa 4.680 12.132 3.319
Sb 1.554 3.318 3.305
Sb 1.554 3.306 7.721
Sb 1.562 7.768 3.242
Sb 1.561 7.759 7.775
Sb 1.561 12.114 3.360
Sb 1.561 12.105 7.657
Sb 4.676 1.143 1.174
Sb 4.676 1.135 5.471
Sb 4.676 5.489 1.055
Sb 4.676 5.481 5.589
Sb 4.683 9.942 1.110
Sb 4.683 9.930 5.525
```

VASP calculation (PBE) on crystalline RbAlCd2Cl8 at its relaxed geometry.

Values from the calculation:
Formation energy from raw total energies in eV/atom: -1.3373

The structure in extended XYZ format:
```
12
Lattice="5.324 -3.550 0.000 5.324 3.550 0.000 -0.567 0.000 9.537" Properties=species:S:1:pos:R:3 pbc="T T T"
Rb 0.000 0.000 0.000
Al -0.284 0.000 4.769
Cd 3.416 0.000 6.612
Cd 6.665 0.000 2.925
Cl 4.892 1.913 3.089
Cl 2.051 0.000 4.515
Cl 5.190 1.913 6.448
Cl 2.750 0.000 8.922
Cl 7.331 0.000 0.616
Cl 4.892 -1.913 3.089
Cl 8.030 0.000 5.022
Cl 5.190 -1.913 6.448
```

VASP calculation (PBE) on crystalline V2Ni3Pd at its relaxed geometry.

Values from the calculation:
E_form in eV/atom: -0.08

The structure in extended XYZ format:
```
12
Lattice="5.848 -2.142 0.000 5.848 2.142 0.000 -3.475 0.000 5.974" Properties=species:S:1:pos:R:3 pbc="T T T"
V -0.398 0.000 1.222
V 1.943 0.000 2.574
V 6.278 0.000 3.400
V 8.619 0.000 4.752
Ni -0.704 0.000 3.594
Ni 2.332 0.000 0.120
Ni 4.349 0.000 1.802
Ni 3.872 0.000 4.172
Ni 5.889 0.000 5.854
Ni 8.925 0.000 2.380
Pd 1.320 0.000 5.130
Pd 6.902 0.000 0.844
```

VASP calculation (PBE) on crystalline NaNd2IO6 at its relaxed geometry.

Values from the calculation:
Formation energy from raw total energies in eV/atom: -2.0471

The structure in extended XYZ format:
```
10
Lattice="3.007 1.736 5.064 -3.007 1.736 5.064 0.000 -3.473 5.064" Properties=species:S:1:pos:R:3 pbc="T T T"
Na 0.000 0.000 0.000
Nd 0.000 0.000 4.039
Nd 0.000 0.000 11.901
I 0.000 0.000 7.321
O -1.554 0.040 6.072
O -1.181 -1.652 8.348
O 0.742 -1.366 6.072
O -0.840 1.849 8.348
O 0.812 1.325 6.072
O 2.021 -0.197 8.348
```

VASP calculation (PBE) on crystalline Ce8CoPb2 at its relaxed geometry.

Values from the calculation:
E_form in eV/atom: -0.18

The structure in extended XYZ format:
```
11
Lattice="9.032 -2.637 0.000 9.032 2.637 0.000 -2.403 0.000 6.220" Properties=species:S:1:pos:R:3 pbc="T T T"
Ce -0.256 0.000 1.432
Ce 3.327 0.000 1.787
Ce 4.233 0.000 6.177
Ce 6.525 0.000 3.423
Ce 9.136 0.000 2.798
Ce 11.428 0.000 0.044
Ce 12.334 0.000 4.433
Ce 15.917 0.000 4.788
Co 9.032 0.000 0.000
Pb 1.236 0.000 4.515
Pb 14.425 0.000 1.705
```

VASP calculation (PBE) on crystalline LiAlCd at its relaxed geometry.

Values from the calculation:
E_form in eV/atom: -0.08

The structure in extended XYZ format:
```
3
Lattice="4.615 0.000 0.000 -2.307 3.997 0.000 0.000 0.000 3.049" Properties=species:S:1:pos:R:3 pbc="T T T"
Li 0.000 0.000 0.000
Al 2.307 1.332 1.180
Cd 0.000 2.664 1.856
```

VASP calculation (PBE) on crystalline HgRuSe2 at its relaxed geometry.

Values from the calculation:
Formation energy from raw total energies in eV/atom: 0.1042

The structure in extended XYZ format:
```
4
Lattice="2.986 0.000 0.000 0.000 2.986 0.000 0.000 0.000 9.222" Properties=species:S:1:pos:R:3 pbc="T T T"
Hg 0.000 0.000 0.000
Ru 1.493 1.493 2.144
Se 0.000 0.000 3.489
Se 1.493 1.493 6.618
```

VASP calculation (PBE) on crystalline PuBiN2 at its relaxed geometry.

Values from the calculation:
Formation energy from raw total energies in eV/atom: -0.5109

The structure in extended XYZ format:
```
4
Lattice="1.764 1.018 6.818 -1.764 1.018 6.818 0.000 -2.037 6.818" Properties=species:S:1:pos:R:3 pbc="T T T"
Pu 0.000 0.000 0.000
Bi 0.000 0.000 10.226
N 0.000 0.000 7.760
N 0.000 0.000 12.693
```

VASP calculation (PBE) on crystalline TmBe9V2 at its relaxed geometry.

Values from the calculation:
E_form in eV/atom: -0.16

The structure in extended XYZ format:
```
12
Lattice="2.248 1.298 7.105 -2.248 1.298 7.105 0.000 -2.596 7.105" Properties=species:S:1:pos:R:3 pbc="T T T"
Tm 0.000 0.000 0.000
Be -1.147 -0.662 8.950
Be 0.000 0.000 7.141
Be 0.000 -1.324 12.364
Be -1.147 0.662 12.364
Be 0.000 0.000 10.657
Be 1.147 -0.662 8.950
Be 0.000 1.324 8.950
Be 0.000 0.000 14.173
Be 1.147 0.662 12.364
V 0.000 0.000 3.120
V 0.000 0.000 18.194
```

VASP calculation (PBE) on crystalline La4Pr4Ho3 at its relaxed geometry.

Values from the calculation:
E_form in eV/atom: 0.11

The structure in extended XYZ format:
```
11
Lattice="-1.848 4.829 11.122 1.848 -4.829 11.122 1.848 4.829 -11.122" Properties=species:S:1:pos:R:3 pbc="T T T"
La 1.848 -3.206 7.933
La 0.000 1.623 3.189
La 1.848 3.206 7.933
La 0.000 8.035 3.189
Pr 1.848 0.000 5.918
Pr 0.000 3.003 0.000
Pr 0.000 6.655 0.000
Pr 0.000 4.829 5.204
Ho 1.848 0.000 0.000
Ho 0.000 0.000 8.824
Ho 0.000 0.000 13.420
```

VASP calculation (PBE) on crystalline PrPa2PN6 at its relaxed geometry.

Values from the calculation:
Formation energy from raw total energies in eV/atom: -0.8613

The structure in extended XYZ format:
```
10
Lattice="5.262 0.000 0.000 0.000 5.262 0.000 0.000 0.000 5.281" Properties=species:S:1:pos:R:3 pbc="T T T"
Pr 0.000 0.000 0.000
Pa 0.000 2.631 2.395
Pa 2.631 0.000 2.395
P 2.631 2.631 0.435
N 0.000 0.000 2.928
N 1.470 1.470 1.109
N 1.470 3.792 1.109
N 2.631 2.631 4.023
N 3.792 1.470 1.109
N 3.792 3.792 1.109
```

VASP calculation (PBE) on crystalline MgSn3Hg at its relaxed geometry.

Values from the calculation:
E_form in eV/atom: 0.42

The structure in extended XYZ format:
```
5
Lattice="5.437 0.000 0.000 0.000 5.437 0.000 0.000 0.000 5.437" Properties=species:S:1:pos:R:3 pbc="T T T"
Mg 0.000 0.000 0.000
Sn 0.000 0.000 2.718
Sn 0.000 2.718 0.000
Sn 2.718 0.000 0.000
Hg 2.718 2.718 2.718
```